--- a ---
Na6Ti2O7 | the Alexandria database | PBE | optimized geometry; Fermi-level density of states = 0.00 states/eV/cell; symmetry = P2/c
1.0
-3.5738 -2.1250 -3.4403
1.1339 -7.9999 3.7634
-6.1913 -2.4248 7.9295
O Na Ti
14 12 4
direct
0.7749 0.3869 0.1418
0.2073 0.7278 0.0816
0.1658 0.0000 0.7500
0.6362 0.1912 0.6130
0.6362 0.8088 0.8870
0.7927 0.7278 0.5816
0.3638 0.1912 0.1130
0.2251 0.6131 0.8582
0.7927 0.2722 0.9184
0.2073 0.2722 0.4184
0.7749 0.6131 0.3582
0.3638 0.8088 0.3870
0.8342 0.0000 0.2500
0.2251 0.3869 0.6418
0.7772 0.4278 0.6352
0.1999 0.0650 0.3472
0.2268 0.6650 0.6189
0.7732 0.6650 0.1189
0.2228 0.4278 0.1352
0.2228 0.5722 0.3648
0.7772 0.5722 0.8648
0.8001 0.9350 0.6528
0.8001 0.0650 0.8472
0.2268 0.3350 0.8811
0.7732 0.3350 0.3811
0.1999 0.9350 0.1528
0.6973 0.7886 0.3941
0.3027 0.7886 0.8941
0.6973 0.2114 0.1059
0.3027 0.2114 0.6059

--- b ---
Na6Ti2O7 | the Alexandria database | PBE | optimized geometry; Fermi-level density of states = 0.00 states/eV/cell; symmetry = C2/c
1.0
6.0283 0.1247 -0.0465
-0.3367 6.0202 -0.0465
2.2215 2.3984 11.8319
Na O Ti
12 14 4
direct
0.5357 0.9802 0.1298
0.4408 0.5592 0.7500
0.5000 0.5000 0.5000
0.5000 0.5000 0.0000
0.5592 0.4408 0.2500
0.9463 0.2412 0.9122
0.0537 0.7588 0.0878
0.0198 0.4643 0.3702
0.4643 0.0198 0.8702
0.2412 0.9463 0.4122
0.7588 0.0537 0.5878
0.9802 0.5357 0.6298
0.7457 0.8491 0.9798
0.9652 0.0348 0.7500
0.5415 0.7806 0.3163
0.8491 0.7457 0.4798
0.2543 0.1509 0.0202
0.3080 0.7983 0.6037
0.4585 0.2194 0.6837
0.0348 0.9652 0.2500
0.1509 0.2543 0.5202
0.7806 0.5415 0.8163
0.7983 0.3080 0.1037
0.2194 0.4585 0.1837
0.2017 0.6920 0.8963
0.6920 0.2017 0.3963
0.0708 0.2335 0.1387
0.9292 0.7665 0.8613
0.7665 0.9292 0.3613
0.2335 0.0708 0.6387

--- c ---
Na6Ti2O7 | the Alexandria database | PBE | optimized geometry; Fermi-level density of states = 0.00 states/eV/cell; symmetry = Pc
1.0
8.6621 0.0000 0.0000
0.0000 5.9939 0.0362
0.0000 5.8945 9.1411
Ti Na O
4 12 14
direct
0.5937 0.4070 0.2188
0.0944 0.9733 0.9991
0.9056 0.9733 0.4991
0.4063 0.4070 0.7188
0.4390 0.7852 0.9026
0.7882 0.9122 0.8852
0.5610 0.7852 0.4026
0.2871 0.4689 0.3321
0.9148 0.2903 0.1202
0.0625 0.5961 0.8149
0.4134 0.0902 0.0970
0.2118 0.9122 0.3852
0.0852 0.2903 0.6202
0.9375 0.5961 0.3149
0.5866 0.0902 0.5970
0.7129 0.4689 0.8321
0.3475 0.4995 0.5364
0.7484 0.1892 0.3603
0.0499 0.6864 0.9925
0.9501 0.6864 0.4925
0.4249 0.1952 0.2741
0.9262 0.1868 0.9418
0.5751 0.1952 0.7741
0.2516 0.1892 0.8603
0.6525 0.4995 0.0364
0.1506 0.8812 0.1820
0.5485 0.6939 0.2252
0.0738 0.1868 0.4418
0.4515 0.6939 0.7252
0.8494 0.8812 0.6820

Which structure above is the least stable? It is c.